# Pr2NdSm2Ho4

Crystalline Pr2NdSm2Ho4 at its relaxed geometry (GGA-PBE, Alexandria via LeMat-Bulk).

abc: 9.615 9.615 9.665
angles: 115.27 115.27 21.83
Element x y z (fractional)
Pr1 0.166 0.166 0.002
Pr2 0.834 0.834 0.998
Nd1 0.500 0.500 0.000
Sm1 0.353 0.353 0.338
Sm2 0.647 0.647 0.662
Ho1 0.020 0.020 0.335
Ho2 0.315 0.315 0.662
Ho3 0.685 0.685 0.338
Ho4 0.980 0.980 0.665

Computed properties:
DOS at the Fermi energy: 12.3 states/eV/f.u.
Electronic total energy: -42.07 eV/cell
Magnetic moment: 0.000 μB per formula unit

# PrNd2SmHo4

Crystalline PrNd2SmHo4 at its relaxed geometry (GGA-PBE, Alexandria via LeMat-Bulk).

abc: 9.553 9.553 9.553
angles: 138.09 102.88 91.89
Element x y z (fractional)
Pr1 0.000 0.000 0.000
Pr2 0.500 0.000 0.500
Nd1 0.000 0.500 0.500
Nd2 0.500 0.000 0.000
Nd3 0.500 0.500 0.000
Nd4 0.500 0.500 0.500
Sm1 0.000 0.000 0.500
Sm2 0.000 0.500 0.000
Ho1 0.249 0.249 0.500
Ho2 0.249 0.250 0.999
Ho3 0.249 0.748 0.000
Ho4 0.249 0.750 0.499
Ho5 0.751 0.250 0.501
Ho6 0.751 0.252 0.000
Ho7 0.751 0.750 0.001
Ho8 0.751 0.751 0.500

Computed properties:
DOS at the Fermi energy: 19.6 states/eV/f.u.
Electronic total energy: -68.19 eV/cell
Magnetic moment: 1.222 μB per formula unit

# Pr2NdSm6Ho3

Crystalline Pr2NdSm6Ho3 at its relaxed geometry (GGA-PBE, Alexandria via LeMat-Bulk).

abc: 6.277 6.277 11.997
angles: 95.00 95.00 120.00
Element x y z (fractional)
Pr1 0.167 0.833 0.000
Pr2 0.833 0.167 0.000
Nd1 0.500 0.500 0.000
Sm1 0.082 0.415 0.745
Sm2 0.252 0.252 0.255
Sm3 0.415 0.082 0.745
Sm4 0.585 0.918 0.255
Sm5 0.748 0.748 0.745
Sm6 0.918 0.585 0.255
Ho1 0.000 0.000 0.500
Ho2 0.333 0.667 0.500
Ho3 0.667 0.333 0.500

Computed properties:
DOS at the Fermi energy: 16.7 states/eV/f.u.
Electronic total energy: -56.16 eV/cell
Magnetic moment: 0.000 μB per formula unit

# PrNd2Sm6Ho

Crystalline PrNd2Sm6Ho at its relaxed geometry (GGA-PBE, Alexandria via LeMat-Bulk).

abc: 8.933 8.933 9.853
angles: 94.29 94.29 117.89
Element x y z (fractional)
Pr1 0.019 0.981 0.750
Pr2 0.981 0.019 0.250
Nd1 0.197 0.298 0.543
Nd2 0.298 0.197 0.043
Nd3 0.702 0.803 0.957
Nd4 0.803 0.702 0.457
Sm1 0.017 0.571 0.687
Sm2 0.121 0.745 0.056
Sm3 0.255 0.879 0.444
Sm4 0.295 0.506 0.880
Sm5 0.429 0.983 0.813
Sm6 0.494 0.705 0.620
Sm7 0.506 0.295 0.380
Sm8 0.571 0.017 0.187
Sm9 0.705 0.494 0.120
Sm10 0.745 0.121 0.556
Sm11 0.879 0.255 0.944
Sm12 0.983 0.429 0.313
Ho1 0.408 0.592 0.250
Ho2 0.592 0.408 0.750

Computed properties:
DOS at the Fermi energy: 14.6 states/eV/f.u.
Electronic total energy: -92.13 eV/cell
Magnetic moment: 0.000 μB per formula unit

# PrNdSm3Ho

Crystalline PrNdSm3Ho at its relaxed geometry (GGA-PBE, Alexandria via LeMat-Bulk).

abc: 10.592 10.592 6.965
angles: 90.38 90.38 31.73
Element x y z (fractional)
Pr1 0.146 0.146 0.023
Pr2 0.854 0.854 0.977
Nd1 0.444 0.444 0.739
Nd2 0.556 0.556 0.261
Sm1 0.019 0.019 0.744
Sm2 0.281 0.281 0.751
Sm3 0.336 0.336 0.263
Sm4 0.664 0.664 0.737
Sm5 0.719 0.719 0.249
Sm6 0.981 0.981 0.256
Ho1 0.148 0.148 0.468
Ho2 0.852 0.852 0.532

Computed properties:
DOS at the Fermi energy: 8.7 states/eV/f.u.
Electronic total energy: -54.51 eV/cell
Magnetic moment: 0.000 μB per formula unit

# PrNdSmHo2

Crystalline PrNdSmHo2 at its relaxed geometry (GGA-PBE, Alexandria via LeMat-Bulk).

abc: 8.908 8.908 6.511
angles: 90.00 90.00 137.12
Element x y z (fractional)
Pr1 0.250 0.750 0.750
Pr2 0.750 0.250 0.250
Nd1 0.157 0.843 0.250
Nd2 0.843 0.157 0.750
Sm1 0.345 0.655 0.250
Sm2 0.655 0.345 0.750
Ho1 0.250 0.250 0.000
Ho2 0.250 0.250 0.500
Ho3 0.750 0.750 0.000
Ho4 0.750 0.750 0.500

Computed properties:
DOS at the Fermi energy: 9.1 states/eV/f.u.
Electronic total energy: -43.56 eV/cell
Magnetic moment: 0.000 μB per formula unit

# Pr6Nd2SmHo3

Crystalline Pr6Nd2SmHo3 at its relaxed geometry (GGA-PBE, Alexandria via LeMat-Bulk).

abc: 6.350 6.350 12.024
angles: 95.04 95.04 120.02
Element x y z (fractional)
Pr1 0.085 0.418 0.754
Pr2 0.248 0.248 0.246
Pr3 0.418 0.085 0.754
Pr4 0.582 0.915 0.246
Pr5 0.752 0.752 0.754
Pr6 0.915 0.582 0.246
Nd1 0.333 0.667 0.500
Nd2 0.667 0.333 0.500
Sm1 0.000 0.000 0.500
Ho1 0.167 0.833 0.000
Ho2 0.500 0.500 0.000
Ho3 0.833 0.167 0.000

Computed properties:
DOS at the Fermi energy: 15.2 states/eV/f.u.
Electronic total energy: -56.50 eV/cell
Magnetic moment: 0.000 μB per formula unit

# Pr2Nd4SmHo

Crystalline Pr2Nd4SmHo at its relaxed geometry (GGA-PBE, Alexandria via LeMat-Bulk).

abc: 5.177 5.187 10.355
angles: 90.00 90.12 90.00
Element x y z (fractional)
Pr1 0.000 0.000 0.000
Pr2 0.500 0.500 0.500
Nd1 0.000 0.500 0.248
Nd2 0.000 0.500 0.752
Nd3 0.500 0.000 0.249
Nd4 0.500 0.000 0.751
Sm1 0.000 0.000 0.500
Ho1 0.500 0.500 0.000

Computed properties:
DOS at the Fermi energy: 11.9 states/eV/f.u.
Electronic total energy: -37.82 eV/cell
Magnetic moment: 0.000 μB per formula unit

Among the records above, which one has the highest electronic total energy? Pr2Nd4SmHo